Computed, not measured: a geometry-optimized LaPr6Dy2Y structure at the PBE-GGA level of DFT.

Structure (POSCAR):
```
LaPr6Dy2Y
1.0
4.692 -7.713 0.000
4.692 7.713 0.000
-1.287 0.000 9.765
La Pr Dy Y
2 12 4 2
Direct
0.029 0.971 0.750
0.971 0.029 0.250
0.011 0.561 0.684
0.114 0.755 0.055
0.245 0.886 0.445
0.296 0.511 0.881
0.439 0.989 0.816
0.489 0.704 0.619
0.511 0.296 0.381
0.561 0.011 0.184
0.704 0.489 0.119
0.755 0.114 0.555
0.886 0.245 0.945
0.989 0.439 0.316
0.200 0.298 0.548
0.298 0.200 0.048
0.702 0.800 0.952
0.800 0.702 0.452
0.409 0.591 0.250
0.591 0.409 0.750
```

Calculated values
- uncorrected energy (eV per atom) = -4.82
- space group = C2/c
- total moment (μB/atom) = 0.00
- formation energy (eV/atom) = 0.11
- calculated density (g/cm3) = 6.57

---

Computed, not measured: a geometry-optimized YTaNi3 structure at the PBE-GGA level of DFT.

Structure (POSCAR):
```
YTaNi3
1.0
4.541 0.000 0.000
0.000 4.541 0.000
0.000 0.000 4.541
Y Ta Ni
1 1 3
Direct
0.000 0.000 0.000
0.500 0.500 0.500
0.000 0.000 0.500
0.000 0.500 0.000
0.500 0.000 0.000
```

Calculated values
- uncorrected energy (eV per atom) = -5.69
- space group = Pm-3m
- total moment (μB/atom) = 0.27
- formation energy (eV/atom) = 1.44
- calculated density (g/cm3) = 7.91

---

Computed, not measured: a geometry-optimized Li2YCdAu structure at the PBE-GGA level of DFT.

Structure (POSCAR):
```
Li2YCdAu
1.0
4.716 0.000 0.000
0.000 4.716 0.000
0.000 0.000 5.868
Li Y Cd Au
2 1 1 1
Direct
0.000 0.500 0.000
0.500 0.000 0.000
0.000 0.000 0.500
0.000 0.000 0.000
0.500 0.500 0.500
```

Calculated values
- uncorrected energy (eV per atom) = -2.71
- space group = P4/mmm
- total moment (μB/atom) = 0.00
- formation energy (eV/atom) = 0.18
- calculated density (g/cm3) = 5.24

---

Computed, not measured: a geometry-optimized Cs2BaNa2Cl7 structure at the PBE-GGA level of DFT.

Structure (POSCAR):
```
Cs2BaNa2Cl7
1.0
3.740 -3.679 0.000
3.740 3.679 0.000
-2.838 0.000 14.118
Cs Ba Na Cl
2 1 2 7
Direct
0.191 0.191 0.367
0.809 0.809 0.633
0.000 0.000 0.000
0.384 0.384 0.798
0.616 0.616 0.202
0.097 0.585 0.149
0.294 0.294 0.610
0.415 0.903 0.851
0.500 0.500 0.000
0.585 0.097 0.149
0.706 0.706 0.390
0.903 0.415 0.851
```

Calculated values
- uncorrected energy (eV per atom) = -3.39
- space group = C2/m
- total moment (μB/atom) = 0.10
- calculated density (g/cm3) = 2.98